Entry 1:
NaPdSe2N | PBE-GGA | relaxed

```
NaPdSe2N
1.0
5.123 0.000 0.000
0.000 5.123 0.000
0.000 0.000 4.156
Na Pd Se N
1 1 2 1
direct
0.000 0.000 0.000 Na
0.500 0.500 0.500 Pd
0.000 0.500 0.000 Se
0.500 0.000 0.000 Se
0.000 0.000 0.500 N
```

Results
Its uncorrected formation energy is 1.42 eV/atom. As for the space-group type: P4/mmm (123).


Entry 2:
NaZrTe | PBE-GGA | relaxed

```
NaZrTe
1.0
4.352 0.000 0.000
0.000 4.352 0.000
0.000 0.000 8.241
Na Zr Te
2 2 2
direct
0.250 0.250 0.152 Na
0.750 0.750 0.848 Na
0.250 0.750 0.500 Zr
0.750 0.250 0.500 Zr
0.250 0.250 0.756 Te
0.750 0.750 0.244 Te
```

Results
Its uncorrected formation energy is -0.67 eV/atom. As for the space-group type: P4/nmm (129).


Entry 3:
Pr3HgN | PBE-GGA | relaxed

```
Pr3HgN
1.0
5.067 0.000 0.000
0.000 5.067 0.000
0.000 0.000 5.067
Pr Hg N
3 1 1
direct
0.000 0.000 0.500 Pr
0.000 0.500 0.000 Pr
0.500 0.000 0.000 Pr
0.500 0.500 0.500 Hg
0.000 0.000 0.000 N
```

Results
Its uncorrected formation energy is -0.72 eV/atom. As for the space-group type: Pm-3m (221).


Entry 4:
K5Rb2NaAu2 | PBE-GGA | relaxed

```
K5Rb2NaAu2
1.0
14.403 0.000 0.000
0.000 14.403 0.000
0.000 0.000 4.939
K Rb Na Au
10 4 2 4
direct
0.000 0.500 0.000 K
0.070 0.219 0.000 K
0.219 0.930 0.000 K
0.281 0.430 0.000 K
0.430 0.719 0.000 K
0.500 0.000 0.000 K
0.570 0.281 0.000 K
0.719 0.570 0.000 K
0.781 0.070 0.000 K
0.930 0.781 0.000 K
0.174 0.674 0.500 Rb
0.326 0.174 0.500 Rb
0.674 0.826 0.500 Rb
0.826 0.326 0.500 Rb
0.000 0.000 0.500 Na
0.500 0.500 0.500 Na
0.121 0.379 0.500 Au
0.379 0.879 0.500 Au
0.621 0.121 0.500 Au
0.879 0.621 0.500 Au
```

Results
For the formation enthalpy at 0 K, the calculation gives -118 meV per atom. As for the space-group type: P4/mbm (127).


Entry 5:
Li6Mg3Hg | PBE-GGA | relaxed

```
Li6Mg3Hg
1.0
0.000 5.037 5.037
5.037 0.000 5.037
5.037 5.037 0.000
Li Mg Hg
6 3 1
direct
0.246 0.246 0.754 Li
0.246 0.754 0.246 Li
0.246 0.754 0.754 Li
0.754 0.246 0.246 Li
0.754 0.246 0.754 Li
0.754 0.754 0.246 Li
0.250 0.250 0.250 Mg
0.500 0.500 0.500 Mg
0.750 0.750 0.750 Mg
0.000 0.000 0.000 Hg
```

Results
For the formation enthalpy at 0 K, the calculation gives 230 meV per atom. As for the space-group type: Fm-3m (225).


Entry 6:
LaH2N | PBE-GGA | relaxed

```
LaH2N
1.0
0.000 2.733 2.733
2.733 0.000 2.733
2.733 2.733 0.000
La H N
1 2 1
direct
0.000 0.000 0.000 La
0.250 0.250 0.250 H
0.750 0.750 0.750 H
0.500 0.500 0.500 N
```

Results
As for the space-group type: Fm-3m (225). The value obtained for the calculated total energy is -5.118 eV/atom.


Repeat the first record exactly.
NaPdSe2N | PBE-GGA | relaxed

```
NaPdSe2N
1.0
5.123 0.000 0.000
0.000 5.123 0.000
0.000 0.000 4.156
Na Pd Se N
1 1 2 1
direct
0.000 0.000 0.000 Na
0.500 0.500 0.500 Pd
0.000 0.500 0.000 Se
0.500 0.000 0.000 Se
0.000 0.000 0.500 N
```

Results
Its uncorrected formation energy is 1.42 eV/atom. As for the space-group type: P4/mmm (123).